1.
{"formula": "ScSb2Pt", "functional": "PBE", "state": "relaxed", "cell": [[4.994, 0.000, 0.000], [2.497, 4.325, 0.000], [2.497, 1.442, 4.078]], "species": ["Sc", "Sb", "Sb", "Pt"], "frac_coords": [[0.250, 0.250, 0.250], [0.750, 0.750, 0.750], [0.000, 0.000, 0.000], [0.500, 0.500, 0.500]], "de_polymorph_ev_per_atom": 0.2697, "formation_energy_uncorrected_kcal_per_mol_atoms": -6.763}

2.
{"formula": "ScSb2Pt", "functional": "PBE", "state": "relaxed", "cell": [[4.539, 0.000, 0.000], [0.000, 4.539, 0.000], [2.270, 2.270, 9.259]], "species": ["Pt", "Sc", "Sc", "Pt", "Sb", "Sb", "Sb", "Sb"], "frac_coords": [[0.750, 0.250, 0.500], [0.250, 0.750, 0.500], [0.500, 0.500, 0.000], [0.000, 0.000, 0.000], [0.648, 0.125, 0.250], [0.375, 0.352, 0.750], [0.102, 0.625, 0.250], [0.875, 0.898, 0.750]], "de_polymorph_ev_per_atom": 0.1667, "formation_energy_uncorrected_kcal_per_mol_atoms": -9.138}

3.
{"formula": "ScSb2Pt", "functional": "PBE", "state": "relaxed", "cell": [[-3.324, 0.642, -5.123], [-4.536, -3.733, -1.789], [2.114, 3.261, 4.755]], "species": ["Pt", "Sb", "Sb", "Sc"], "frac_coords": [[0.219, 0.719, 0.500], [0.034, 0.034, 0.000], [0.773, 0.273, 0.500], [0.474, 0.474, 0.000]], "de_polymorph_ev_per_atom": 0.0098, "formation_energy_uncorrected_kcal_per_mol_atoms": -12.757}

4.
{"formula": "ScSb2Pt2", "functional": "PBE", "state": "relaxed", "cell": [[4.248, 0.000, 0.000], [0.000, 4.248, 0.000], [2.124, 2.124, 6.138]], "species": ["Sb", "Pt", "Pt", "Sc", "Sb"], "frac_coords": [[0.250, 0.750, 0.500], [0.606, 0.606, 0.787], [0.394, 0.394, 0.213], [0.000, 0.000, 0.000], [0.750, 0.250, 0.500]], "de_polymorph_ev_per_atom": 0.2046, "formation_energy_uncorrected_kcal_per_mol_atoms": -8.153}

5.
{"formula": "ScSbPt2", "functional": "PBE", "state": "relaxed", "cell": [[4.267, 0.000, 0.000], [0.000, 4.267, 0.000], [0.000, 0.000, 3.998]], "species": ["Pt", "Pt", "Sc", "Sb"], "frac_coords": [[0.000, 0.000, 0.000], [0.500, 0.500, 0.000], [0.000, 0.500, 0.500], [0.500, 0.000, 0.500]], "formation_energy_uncorrected_kcal_per_mol_atoms": -17.990}

6.
{"formula": "Sr2ScSbPt", "functional": "PBE", "state": "relaxed", "cell": [[5.810, 0.000, 0.000], [0.000, 5.166, 0.000], [0.000, 0.000, 5.810]], "species": ["Sb", "Pt", "Sc", "Sr", "Sr"], "frac_coords": [[0.000, 0.500, 0.000], [0.000, 0.000, 0.000], [0.500, 0.500, 0.500], [0.000, 0.000, 0.500], [0.500, 0.000, 0.000]], "formation_energy_uncorrected_kcal_per_mol_atoms": -3.589}